[1]
# GaPO3

An optimized crystal structure of GaPO3 (PBE, Alexandria via LeMat-Bulk).

a b c (Å): 3.5805 3.5805 3.5805
angles (deg): 90.00 90.00 90.00
With the nearest neighbours (Å) after each atom.
Atoms (fractional coordinates):
Ga: 0.0000 0.0000 0.0000  12 O 2.53
P: 0.5000 0.5000 0.5000  6 O 1.79
O: 0.0000 0.5000 0.5000  2 P 1.79
O: 0.5000 0.0000 0.5000  2 P 1.79
O: 0.5000 0.5000 0.0000  2 P 1.79

Properties
Space-group type: Pm-3m
Raw formation energy, eV/atom: -0.901
Mass density, g/cm³: 5.4

---

[2]
# CsRb2Br2

An optimized crystal structure of CsRb2Br2 (PBE, Alexandria via LeMat-Bulk).

a b c (Å): 8.7160 8.7160 8.7160
angles (deg): 137.00 137.00 62.44
With the nearest neighbours (Å) after each atom.
Atoms (fractional coordinates):
Cs: 0.0000 0.0000 0.0000  10 Rb 4.84-5.22, 8 Br 4.91
Rb: 0.3249 0.3249 0.0000  4 Br 3.38
Rb: 0.6751 0.6751 0.0000  4 Br 3.38
Br: 0.2500 0.7500 0.5000  4 Rb 3.38
Br: 0.7500 0.2500 0.5000  4 Rb 3.38

Properties
Space-group type: I4/mmm
Raw formation energy, eV/atom: -1.262
Mass density, g/cm³: 2.5

---

[3]
# YEr5Tm5

An optimized crystal structure of YEr5Tm5 (PBE, Alexandria via LeMat-Bulk).

a b c (Å): 9.7879 9.7879 6.8384
angles (deg): 110.18 110.18 34.64
With the nearest neighbours (Å) after each atom.
Atoms (fractional coordinates):
Y: 0.0000 0.0000 0.0000  2 Er 2.91
Er: 0.1796 0.1796 0.4261  5 Tm 3.16-3.53, 2 Er 3.37-3.47
Er: 0.1795 0.1795 0.9338  5 Tm 3.17-3.53, 2 Er 3.37-3.47, 1 Y 3.54
Er: 0.5000 0.5000 0.0000  2 Y 2.91, 2 Tm 2.94
Er: 0.8205 0.8205 0.0662  5 Tm 3.17-3.53, 2 Er 3.37-3.47, 1 Y 3.54
Er: 0.8204 0.8204 0.5739  5 Tm 3.16-3.53, 2 Er 3.37-3.47
Tm: 0.0000 0.0000 0.5000  2 Y 3.42, 4 Er 3.57-3.59, 4 Tm 3.63
Tm: 0.3314 0.3314 0.8299  3 Er 2.94-3.17
Tm: 0.3762 0.3762 0.3742  4 Tm 3.51-3.63, 6 Er 3.53-3.82
Tm: 0.6238 0.6238 0.6258  4 Tm 3.51-3.63, 6 Er 3.53-3.82
Tm: 0.6686 0.6686 0.1701  3 Er 2.94-3.17

Properties
Space-group type: C2/m
Mass density, g/cm³: 8.5
E, eV/cell: -48.39

---

Q: Which value of mass density does entry 1 give?
A: 5.4 g/cm³

---

Q: What is the formula in the first record?
A: GaPO3

---

Q: Which of these has the lowest mass density?
A: CsRb2Br2